1.
# SrWBr2

SrWBr2 after structural relaxation (PBE, the Alexandria database).

Computed properties:
Calculated volume   113.03 Å³ per cell
Symmetry   No. 119
E   -16.617 eV for the cell shown
Raw formation energy   0.34 eV/atom

Cell and atoms, written as POSCAR:
```
SrWBr2
1.0
6.825 0.002 0.000
4.112 5.447 0.000
-5.468 -2.724 3.041
Br W Sr
2 1 1
direct
0.250 0.750 0.500 Br
0.000 0.000 0.000 Br
0.750 0.250 0.500 W
0.500 0.500 0.000 Sr
```



2.
# SrWBr2

SrWBr2 after structural relaxation (PBE, the Alexandria database).

Computed properties:
Calculated volume   121.52 Å³ per cell
Symmetry   No. 44
E   -17.057 eV for the cell shown
Raw formation energy   0.23 eV/atom

Cell and atoms, written as POSCAR:
```
SrWBr2
1.0
8.178 0.074 -0.001
6.144 5.398 0.001
-6.941 -3.314 2.781
Br Sr W
2 1 1
direct
0.763 0.263 0.500 Br
0.031 0.031 0.000 Br
0.443 0.443 0.000 Sr
0.263 0.763 0.500 W
```



3.
# SrWBr2

SrWBr2 after structural relaxation (PBE, the Alexandria database).

Computed properties:
Calculated volume   106.83 Å³ per cell
Symmetry   No. 99
E   -17.929 eV for the cell shown
Raw formation energy   0.01 eV/atom

Cell and atoms, written as POSCAR:
```
SrWBr2
1.0
-2.724 2.053 0.283
-1.025 -0.929 -3.130
-4.800 -6.865 3.608
Br Sr W
2 1 1
direct
0.000 0.000 0.913 Br
0.500 0.500 0.298 Br
0.000 0.000 0.504 Sr
0.500 0.500 0.785 W
```